Ac3GeC GGA-PBE optimized geometry; energy relative to the elements = -11.4 kJ per mole of atoms; V = 31.3 A^3/atom; DOS(E_F) = 0.61 states/eV/atom; uncorrected energy = -0.3934 Ry per atom
1.0
5.3870 0.0000 0.0000
0.0000 5.3870 0.0000
0.0000 0.0000 5.3870
C Ac Ge
1 3 1
Cartesian
0.0000 0.0000 0.0000
0.0000 2.6935 0.0000
0.0000 0.0000 2.6935
2.6935 0.0000 0.0000
2.6935 2.6935 2.6935